The following is a DFT calculation (PBE) of a relaxed structure of Ba2NaNbAg.

a = 6.4392 Å, b = 6.4392 Å, c = 5.4162 Å
α = 90.00°, β = 90.00°, γ = 90.00°
Closest atoms and distances in Å follow each position.
Fractional coordinates of all 5 atoms:
Ba: 0.0000 0.5000 0.0000  2 Ag 3.22
Ba: 0.5000 0.0000 0.0000  2 Ag 3.22
Na: 0.0000 0.0000 0.5000  8 Ba 4.21, 4 Nb 4.55
Nb: 0.5000 0.5000 0.5000  2 Ag 2.71
Ag: 0.5000 0.5000 0.0000  2 Nb 2.71

Properties
M_tot	3.67	μB per cell
energy	-2.9752	eV per atom
energy relative to the elements	3.2	eV/f.u.
symmetry	No. 123
V	44.9	A^3/atom
density of states at the Fermi level	4.79	states/eV/f.u.